# SrTi2W, optimized geometry, DFT PBE
data_SrTi2W
_cell_length_a 5.189
_cell_length_b 5.189
_cell_length_c 17.131
_cell_angle_alpha 90.00
_cell_angle_beta 90.00
_cell_angle_gamma 90.00
_symmetry_space_group_name_H-M 'I 41/a m d'
_symmetry_Int_Tables_number 141
loop_
_symmetry_equiv_pos_as_xyz
'x,y,z'
'-x,-y,-z'
'-y+1/4,x+3/4,z+1/4'
'y+1/4,-x+3/4,-z+1/4'
'-x+1/2,-y,z+1/2'
'x+1/2,y,-z+1/2'
'y+1/4,-x+1/4,z+3/4'
'-y+1/4,x+1/4,-z+3/4'
'x,-y,-z'
'-x,y,z'
'-y+1/4,-x+1/4,-z+3/4'
'y+1/4,x+1/4,z+3/4'
'-x+1/2,y,-z+1/2'
'x+1/2,-y,z+1/2'
'y+1/4,x+3/4,-z+1/4'
'-y+1/4,-x+3/4,z+1/4'
'x+1/2,y+1/2,z+1/2'
'-x+1/2,-y+1/2,-z+1/2'
'-y+3/4,x+1/4,z+3/4'
'y+3/4,-x+1/4,-z+3/4'
'-x,-y+1/2,z'
'x,y+1/2,-z'
'y+3/4,-x+3/4,z+1/4'
'-y+3/4,x+3/4,-z+1/4'
'x+1/2,-y+1/2,-z+1/2'
'-x+1/2,y+1/2,z+1/2'
'-y+3/4,-x+3/4,-z+1/4'
'y+3/4,x+3/4,z+1/4'
'-x,y+1/2,-z'
'x,-y+1/2,z'
'y+3/4,x+1/4,-z+3/4'
'-y+3/4,-x+1/4,z+3/4'
loop_
_atom_site_label
_atom_site_fract_x
_atom_site_fract_y
_atom_site_fract_z
Sr1 0.000 0.250 0.375
Ti1 0.000 0.000 0.000
W1 0.000 0.250 0.875
# V, A^3/atom: 28.83
# E, eV per cell: -101.78
# Relative energy among the computed polymorphs, eV/atom: 0.446

# SrTiW3, optimized geometry, DFT PBE
data_SrTiW3
_cell_length_a 4.750
_cell_length_b 4.750
_cell_length_c 4.750
_cell_angle_alpha 90.00
_cell_angle_beta 90.00
_cell_angle_gamma 90.00
_symmetry_space_group_name_H-M 'P m -3 m'
_symmetry_Int_Tables_number 221
_symmetry_space_group_name_Hall '-P 4 2 3'
loop_
_atom_site_label
_atom_site_fract_x
_atom_site_fract_y
_atom_site_fract_z
Sr1 0.000 0.000 0.000
Ti1 0.500 0.500 0.500
W1 0.000 0.000 0.500
# V, A^3/atom: 21.44
# E, eV per cell: -31.32
# Relative energy among the computed polymorphs, eV/atom: 1.705

# SrTiW2, optimized geometry, DFT PBE
data_SrTiW2
_cell_length_a 4.945
_cell_length_b 4.945
_cell_length_c 18.215
_cell_angle_alpha 90.00
_cell_angle_beta 90.00
_cell_angle_gamma 90.00
_symmetry_space_group_name_H-M 'I 41/a m d'
_symmetry_Int_Tables_number 141
loop_
_symmetry_equiv_pos_as_xyz
'x,y,z'
'-x,-y,-z'
'-y+1/4,x+3/4,z+1/4'
'y+1/4,-x+3/4,-z+1/4'
'-x+1/2,-y,z+1/2'
'x+1/2,y,-z+1/2'
'y+1/4,-x+1/4,z+3/4'
'-y+1/4,x+1/4,-z+3/4'
'x,-y,-z'
'-x,y,z'
'-y+1/4,-x+1/4,-z+3/4'
'y+1/4,x+1/4,z+3/4'
'-x+1/2,y,-z+1/2'
'x+1/2,-y,z+1/2'
'y+1/4,x+3/4,-z+1/4'
'-y+1/4,-x+3/4,z+1/4'
'x+1/2,y+1/2,z+1/2'
'-x+1/2,-y+1/2,-z+1/2'
'-y+3/4,x+1/4,z+3/4'
'y+3/4,-x+1/4,-z+3/4'
'-x,-y+1/2,z'
'x,y+1/2,-z'
'y+3/4,-x+3/4,z+1/4'
'-y+3/4,x+3/4,-z+1/4'
'x+1/2,-y+1/2,-z+1/2'
'-x+1/2,y+1/2,z+1/2'
'-y+3/4,-x+3/4,-z+1/4'
'y+3/4,x+3/4,z+1/4'
'-x,y+1/2,-z'
'x,-y+1/2,z'
'y+3/4,x+1/4,-z+3/4'
'-y+3/4,-x+1/4,z+3/4'
loop_
_atom_site_label
_atom_site_fract_x
_atom_site_fract_y
_atom_site_fract_z
Sr1 0.000 0.250 0.375
Ti1 0.000 0.250 0.875
W1 0.000 0.000 0.000
# V, A^3/atom: 27.84
# E, eV per cell: -118.92
# Relative energy among the computed polymorphs, eV/atom: 0.133

# Sr2TiZnW, optimized geometry, DFT PBE
data_Sr2TiZnW
_cell_length_a 5.901
_cell_length_b 5.901
_cell_length_c 4.814
_cell_angle_alpha 90.00
_cell_angle_beta 90.00
_cell_angle_gamma 90.00
_symmetry_space_group_name_H-M 'P 4/m m m'
_symmetry_Int_Tables_number 123
_symmetry_space_group_name_Hall '-P 4 2'
loop_
_atom_site_label
_atom_site_fract_x
_atom_site_fract_y
_atom_site_fract_z
Sr1 0.000 0.500 0.000
Ti1 0.000 0.000 0.000
Zn1 0.000 0.000 0.500
W1 0.500 0.500 0.500
# V, A^3/atom: 33.53
# E, eV per cell: -16.70

# SrYTi2, optimized geometry, DFT PBE
data_SrYTi2
_cell_length_a 7.619
_cell_length_b 7.619
_cell_length_c 7.619
_cell_angle_alpha 90.00
_cell_angle_beta 90.00
_cell_angle_gamma 90.00
_symmetry_space_group_name_H-M 'F m -3 m'
_symmetry_Int_Tables_number 225
_symmetry_space_group_name_Hall '-F 4 2 3'
loop_
_atom_site_label
_atom_site_fract_x
_atom_site_fract_y
_atom_site_fract_z
Sr1 0.000 0.000 0.000
Y1 0.000 0.000 0.500
Ti1 0.250 0.250 0.250
# V, A^3/atom: 27.64
# E, eV per cell: -84.45
# Relative energy among the computed polymorphs, eV/atom: 0.000

# SrY2Ti, optimized geometry, DFT PBE
data_SrY2Ti
_cell_length_a 8.802
_cell_length_b 8.802
_cell_length_c 6.797
_cell_angle_alpha 90.00
_cell_angle_beta 90.00
_cell_angle_gamma 90.00
_symmetry_space_group_name_H-M 'I -4 2 d'
_symmetry_Int_Tables_number 122
_symmetry_space_group_name_Hall 'I -4 2bw'
loop_
_atom_site_label
_atom_site_fract_x
_atom_site_fract_y
_atom_site_fract_z
Sr1 0.000 0.000 0.000
Y1 0.213 0.750 0.625
Ti1 0.000 0.000 0.500
# V, A^3/atom: 32.91
# E, eV per cell: -79.17
# Relative energy among the computed polymorphs, eV/atom: 0.232

# SrY2Ti, optimized geometry, DFT PBE
data_SrY2Ti
_cell_length_a 7.927
_cell_length_b 7.927
_cell_length_c 7.927
_cell_angle_alpha 90.00
_cell_angle_beta 90.00
_cell_angle_gamma 90.00
_symmetry_space_group_name_H-M 'F m -3 m'
_symmetry_Int_Tables_number 225
_symmetry_space_group_name_Hall '-F 4 2 3'
loop_
_atom_site_label
_atom_site_fract_x
_atom_site_fract_y
_atom_site_fract_z
Sr1 0.000 0.000 0.000
Y1 0.250 0.250 0.250
Ti1 0.000 0.000 0.500
# V, A^3/atom: 31.13
# E, eV per cell: -82.89
# Relative energy among the computed polymorphs, eV/atom: 0.000

# Sr2YTi, optimized geometry, DFT PBE
data_Sr2YTi
_cell_length_a 9.275
_cell_length_b 9.275
_cell_length_c 6.770
_cell_angle_alpha 90.00
_cell_angle_beta 90.00
_cell_angle_gamma 90.00
_symmetry_space_group_name_H-M 'I -4 2 d'
_symmetry_Int_Tables_number 122
_symmetry_space_group_name_Hall 'I -4 2bw'
loop_
_atom_site_label
_atom_site_fract_x
_atom_site_fract_y
_atom_site_fract_z
Sr1 0.226 0.250 0.125
Y1 0.000 0.000 0.500
Ti1 0.000 0.000 0.000
# V, A^3/atom: 36.40
# E, eV per cell: -58.00
# Relative energy among the computed polymorphs, eV/atom: 0.158

# Sr2YTi, optimized geometry, DFT PBE
data_Sr2YTi
_cell_length_a 8.311
_cell_length_b 8.311
_cell_length_c 8.311
_cell_angle_alpha 90.00
_cell_angle_beta 90.00
_cell_angle_gamma 90.00
_symmetry_space_group_name_H-M 'F m -3 m'
_symmetry_Int_Tables_number 225
_symmetry_space_group_name_Hall '-F 4 2 3'
loop_
_atom_site_label
_atom_site_fract_x
_atom_site_fract_y
_atom_site_fract_z
Sr1 0.250 0.250 0.250
Y1 0.000 0.000 0.000
Ti1 0.000 0.000 0.500
# V, A^3/atom: 35.88
# E, eV per cell: -60.52
# Relative energy among the computed polymorphs, eV/atom: 0.000

# SrYTi2, optimized geometry, DFT PBE
data_SrYTi2
_cell_length_a 4.854
_cell_length_b 4.854
_cell_length_c 21.819
_cell_angle_alpha 90.00
_cell_angle_beta 90.00
_cell_angle_gamma 90.00
_symmetry_space_group_name_H-M 'I 41/a m d'
_symmetry_Int_Tables_number 141
loop_
_symmetry_equiv_pos_as_xyz
'x,y,z'
'-x,-y,-z'
'-y+1/4,x+3/4,z+1/4'
'y+1/4,-x+3/4,-z+1/4'
'-x+1/2,-y,z+1/2'
'x+1/2,y,-z+1/2'
'y+1/4,-x+1/4,z+3/4'
'-y+1/4,x+1/4,-z+3/4'
'x,-y,-z'
'-x,y,z'
'-y+1/4,-x+1/4,-z+3/4'
'y+1/4,x+1/4,z+3/4'
'-x+1/2,y,-z+1/2'
'x+1/2,-y,z+1/2'
'y+1/4,x+3/4,-z+1/4'
'-y+1/4,-x+3/4,z+1/4'
'x+1/2,y+1/2,z+1/2'
'-x+1/2,-y+1/2,-z+1/2'
'-y+3/4,x+1/4,z+3/4'
'y+3/4,-x+1/4,-z+3/4'
'-x,-y+1/2,z'
'x,y+1/2,-z'
'y+3/4,-x+3/4,z+1/4'
'-y+3/4,x+3/4,-z+1/4'
'x+1/2,-y+1/2,-z+1/2'
'-x+1/2,y+1/2,z+1/2'
'-y+3/4,-x+3/4,-z+1/4'
'y+3/4,x+3/4,z+1/4'
'-x,y+1/2,-z'
'x,-y+1/2,z'
'y+3/4,x+1/4,-z+3/4'
'-y+3/4,-x+1/4,z+3/4'
loop_
_atom_site_label
_atom_site_fract_x
_atom_site_fract_y
_atom_site_fract_z
Sr1 0.000 0.250 0.375
Y1 0.000 0.250 0.875
Ti1 0.000 0.000 0.000
# V, A^3/atom: 32.13
# E, eV per cell: -79.36
# Relative energy among the computed polymorphs, eV/atom: 0.318

# Sr2Y2Ti, optimized geometry, DFT PBE
data_Sr2Y2Ti
_cell_length_a 4.440
_cell_length_b 4.440
_cell_length_c 18.335
_cell_angle_alpha 90.00
_cell_angle_beta 90.00
_cell_angle_gamma 90.00
_symmetry_space_group_name_H-M 'I 4/m m m'
_symmetry_Int_Tables_number 139
_symmetry_space_group_name_Hall '-I 4 2'
loop_
_atom_site_label
_atom_site_fract_x
_atom_site_fract_y
_atom_site_fract_z
Sr1 0.000 0.500 0.250
Y1 0.000 0.000 0.084
Ti1 0.000 0.000 0.500
# V, A^3/atom: 36.14
# E, eV per cell: -40.10
# Relative energy among the computed polymorphs, eV/atom: 0.301

# Sr2Y2Ti, optimized geometry, DFT PBE
data_Sr2Y2Ti
_cell_length_a 7.777
_cell_length_b 7.777
_cell_length_c 6.287
_cell_angle_alpha 90.00
_cell_angle_beta 90.00
_cell_angle_gamma 90.00
_symmetry_space_group_name_H-M 'P 4/m b m'
_symmetry_Int_Tables_number 127
_symmetry_space_group_name_Hall '-P 4 2ab'
loop_
_atom_site_label
_atom_site_fract_x
_atom_site_fract_y
_atom_site_fract_z
Sr1 0.177 0.323 0.000
Y1 0.156 0.656 0.500
Ti1 0.000 0.000 0.500
# V, A^3/atom: 38.02
# E, eV per cell: -43.10
# Relative energy among the computed polymorphs, eV/atom: 0.000

no.,DOS at the Fermi energy (states/eV/f.u.),energy of formation from the pure elements (meV per atom),spin magnetization (Bohr magnetons per cell)
1,5.49,1245,0.00
2,11.00,3423,0.00
3,7.73,1439,0.00
4,6.88,1756,4.49
5,8.32,706,18.11
6,4.24,678,15.35
7,9.47,446,12.64
8,2.22,806,12.00
9,15.12,648,9.50
10,3.50,1024,0.00
11,9.28,828,4.33
12,8.29,527,7.29